First-principles (PBE-GGA) data for a relaxed structure of HfUNi10, as listed in Alexandria.

The structure in POSCAR format:
```
HfUNi10
1.0
3.9675 0.0000 0.0000
0.0000 4.7631 0.0000
0.0000 0.0000 8.2484
Hf U Ni
1 1 10
Direct
0.0000 0.5000 0.5000
0.0000 0.0000 0.0000
0.0000 0.0000 0.3343
0.0000 0.5000 0.8307
0.0000 0.5000 0.1693
0.0000 0.0000 0.6657
0.5000 0.0000 0.5000
0.5000 0.5000 0.0000
0.5000 0.2513 0.2529
0.5000 0.7487 0.7471
0.5000 0.7487 0.2529
0.5000 0.2513 0.7471
```

Summary:
* E_tot: -6.843 eV per atom
* magnetic moment: 0.71 μB/f.u.
* N(E_F): 16.86 states/eV/f.u.